This record from Alexandria via LeMat-Bulk describes a relaxed BaCuIr2 crystal. The functional is GGA-PBEsol.

ΔE to the lowest computed polymorph, eV per atom: 0.000
Total magnetic moment, μB/atom: 0.005
Space group: No. 160

```
BaCuIr2
1.0
2.1677 1.2515 5.4926
-2.1677 1.2515 5.4926
0.0000 -2.5031 5.4926
Ba Cu Ir
1 1 2
Direct
0.0000 0.0000 0.0000
0.1841 0.1841 0.1841
0.4877 0.4877 0.4877
0.8129 0.8129 0.8129
```

This record from Alexandria via LeMat-Bulk describes a relaxed Mn2TlBiP crystal. The functional is GGA-PBEsol.

Energy, eV/cell: -24.55
Total magnetic moment, μB/atom: 1.779
Space group: No. 123

```
Mn2TlBiP
1.0
4.9893 0.0000 0.0000
0.0000 4.9893 0.0000
0.0000 0.0000 5.7110
Mn Tl Bi P
2 1 1 1
Direct
0.0000 0.5000 0.0000
0.5000 0.0000 0.0000
0.0000 0.0000 0.0000
0.0000 0.0000 0.5000
0.5000 0.5000 0.5000
```

This record from Alexandria via LeMat-Bulk describes a relaxed K4BeRe crystal. The functional is GGA-PBEsol.

Energy, eV/cell: -11.22
Total magnetic moment, μB/atom: 0.542
Space group: No. 216

```
K4BeRe
1.0
0.0000 4.7074 4.7074
4.7074 0.0000 4.7074
4.7074 4.7074 0.0000
K Be Re
4 1 1
Direct
0.1249 0.1249 0.1249
0.1249 0.1249 0.6252
0.1249 0.6252 0.1249
0.6252 0.1249 0.1249
0.7500 0.7500 0.7500
0.5000 0.5000 0.5000
```